DFT (PBE) results for PuTlCuI6 after structural relaxation.

Cell and atoms, written as extended XYZ:
```
18
Lattice="-6.590 3.483 -1.743 1.303 -2.362 7.164 6.237 13.451 3.300" Properties=species:S:1:pos:R:3 pbc="T T T"
I 0.701 9.270 5.638
I 2.930 7.527 8.530
I 0.248 5.302 3.084
I 6.086 10.106 7.425
I -3.412 6.782 3.967
I -1.980 7.045 0.192
I 2.512 11.430 8.783
I 3.507 11.923 4.892
I -2.557 2.649 3.829
I 4.361 7.790 4.755
I -5.136 4.466 1.297
I -1.563 3.142 -0.061
Tl 0.000 0.000 0.000
Tl 3.118 6.725 1.650
Cu -2.400 4.897 2.051
Cu 3.350 9.674 6.670
Pu 0.718 11.623 3.702
Pu 0.231 2.949 5.020
```

Properties
Electronic total energy in eV per cell: -71.25
Formation energy without anion corrections in eV per formula unit: -5.530
Density in Mg/m³: 5.49
Space-group type: No. 163


DFT (PBE) results for AcPr2Nd after structural relaxation.

Cell and atoms, written as extended XYZ:
```
4
Lattice="-0.249 -1.404 -5.140 -3.667 -3.674 1.181 -3.852 3.589 -0.793" Properties=species:S:1:pos:R:3 pbc="T T T"
Ac -3.884 -0.745 -2.376
Nd -0.125 -0.702 -2.570
Pr -1.926 1.794 -0.397
Pr -1.833 -1.837 0.591
```

Properties
Electronic total energy in eV per cell: -18.36
Formation energy in eV/atom: 0.02
Density in Mg/m³: 7.17
Relative energy among the computed polymorphs in meV per atom: 0
Space-group type: No. 123


DFT (PBE) results for Tb3Sm7 after structural relaxation.

Cell and atoms, written as extended XYZ:
```
10
Lattice="-4.695 -1.482 1.317 2.645 -3.039 6.011 0.486 9.247 2.278" Properties=species:S:1:pos:R:3 pbc="T T T"
Sm -0.480 3.100 1.777
Sm 0.363 4.673 6.553
Sm -1.927 0.052 3.052
Sm -0.959 6.197 3.556
Sm 1.322 -1.520 3.005
Sm -0.606 -1.471 6.049
Sm -1.084 1.625 7.828
Tb 0.000 0.000 0.000
Tb -2.405 3.138 4.821
Tb 0.840 1.588 4.784
```

Properties
Electronic total energy in eV per cell: -46.78
Formation energy in eV/atom: 0.01
Density in Mg/m³: 7.64
Relative energy among the computed polymorphs in meV per atom: 0
Space-group type: No. 12


DFT (PBE) results for CaPr2Sm6Dy3 after structural relaxation.

Cell and atoms, written as extended XYZ:
```
12
Lattice="-5.679 1.544 2.250 0.678 -5.134 -3.589 3.735 -5.308 10.136" Properties=species:S:1:pos:R:3 pbc="T T T"
Pr -3.561 -0.680 0.305
Pr -1.440 -2.909 -1.644
Sm -1.388 -1.150 3.245
Sm 0.756 -3.403 1.275
Sm -2.785 -4.054 1.604
Sm -2.022 -5.494 7.522
Sm 0.123 -7.747 5.552
Sm 1.519 -4.843 7.193
Ca 0.000 0.000 0.000
Dy -2.757 -2.217 6.350
Dy 1.492 -6.681 2.447
Dy -0.633 -4.449 4.398
```

Properties
Electronic total energy in eV per cell: -53.29
Formation energy in eV/atom: 0.03
Density in Mg/m³: 6.98
Space-group type: No. 12


DFT (PBE) results for Tm3TePbS after structural relaxation.

Cell and atoms, written as extended XYZ:
```
12
Lattice="4.206 0.000 0.000 0.000 8.664 1.406 0.000 -1.888 9.894" Properties=species:S:1:pos:R:3 pbc="T T T"
Tm 3.154 7.235 2.623
Tm 1.051 -0.458 8.677
Tm 3.154 0.416 4.301
Tm 1.051 3.734 9.669
Tm 3.154 3.042 1.632
Tm 1.051 6.361 7.000
Pb 1.051 0.797 1.951
Pb 3.154 5.979 9.349
Te 3.154 1.808 8.600
Te 1.051 4.969 2.701
S 1.051 0.288 5.924
S 3.154 6.488 5.376
```

Properties
Electronic total energy in eV per cell: -61.39
Formation energy without anion corrections in eV per formula unit: -6.302
Density in Mg/m³: 7.81
Space-group type: No. 11


DFT (PBE) results for HoSc5As6 after structural relaxation.

Cell and atoms, written as extended XYZ:
```
12
Lattice="6.709 0.165 1.020 1.650 5.690 3.317 0.114 0.061 6.788" Properties=species:S:1:pos:R:3 pbc="T T T"
Sc 0.587 1.913 3.375
Sc 1.176 3.838 6.730
Sc 3.702 1.059 5.611
Sc 4.179 2.928 2.169
Sc 4.770 4.857 5.514
As 5.774 2.588 6.647
As 2.125 1.503 1.110
As 5.175 0.628 3.357
As 6.233 4.353 3.227
As 2.698 3.328 4.479
As 3.297 5.288 7.768
Ho 0.000 0.000 0.000
```

Properties
Electronic total energy in eV per cell: -80.84
Formation energy in eV/atom: -1.39
Density in Mg/m³: 5.46
Space-group type: No. 12


DFT (PBE) results for AcLaEr14 after structural relaxation.

Cell and atoms, written as extended XYZ:
```
16
Lattice="7.239 -0.083 0.000 -3.512 6.331 0.000 0.000 0.000 11.293" Properties=species:S:1:pos:R:3 pbc="T T T"
Er 1.893 5.225 5.647
Er 5.462 0.977 2.858
Er 0.095 4.179 2.880
Er 3.652 2.057 5.647
Er 0.042 2.098 0.000
Er 1.828 1.039 2.915
Er 5.462 0.977 8.436
Er 3.682 4.146 8.378
Er 3.682 4.146 2.915
Er 0.095 4.179 8.413
Er 1.901 5.214 0.000
Er 0.028 2.100 5.647
Er -1.723 5.263 5.647
Er 1.828 1.039 8.378
Ac -1.745 5.277 0.000
La 3.635 2.067 0.000
```

Properties
Electronic total energy in eV per cell: -72.56
Formation energy in eV/atom: 0.02
Density in Mg/m³: 8.74
Space-group type: No. 38


DFT (PBE) results for HfFe2RuC after structural relaxation.

Cell and atoms, written as extended XYZ:
```
5
Lattice="-0.750 3.113 -2.157 -2.680 1.117 2.545 2.804 2.088 2.037" Properties=species:S:1:pos:R:3 pbc="T T T"
Ru 1.402 1.044 1.019
Hf -0.313 3.159 1.212
Fe -0.375 1.557 -1.079
Fe -1.340 0.559 1.272
C 0.000 0.000 0.000
```

Properties
Electronic total energy in eV per cell: -46.73
Formation energy in eV/atom: -0.27
Density in Mg/m³: 11.10
Space-group type: No. 123


DFT (PBE) results for Mg2CrInSb after structural relaxation.

Cell and atoms, written as extended XYZ:
```
5
Lattice="-0.553 -4.936 -1.550 3.857 -1.310 2.795 -3.203 -0.897 4.001" Properties=species:S:1:pos:R:3 pbc="T T T"
Sb 0.000 0.000 0.000
Mg -0.277 -2.468 -0.775
Mg -1.602 -0.449 2.000
In 0.050 -3.572 2.623
Cr 1.929 -0.655 1.397
```

Properties
Electronic total energy in eV per cell: -16.98
Formation energy without anion corrections in eV per formula unit: 2.697
Density in Mg/m³: 4.19
Space-group type: No. 123


DFT (PBE) results for Cr2PRh after structural relaxation.

Cell and atoms, written as extended XYZ:
```
4
Lattice="2.752 -0.001 0.000 0.001 2.752 0.000 0.000 0.000 6.364" Properties=species:S:1:pos:R:3 pbc="T T T"
P 1.377 1.375 1.591
Cr 0.000 0.000 0.206
Cr 0.000 0.000 2.976
Rh 1.377 1.375 4.773
```

Properties
Electronic total energy in eV per cell: -32.98
Formation energy in eV/atom: -0.24
Density in Mg/m³: 8.20
Space-group type: No. 123


DFT (PBE) results for Ag3Te after structural relaxation.

Cell and atoms, written as extended XYZ:
```
4
Lattice="3.080 0.010 0.000 -0.014 3.080 0.000 0.000 0.000 9.028" Properties=species:S:1:pos:R:3 pbc="T T T"
Ag 0.000 0.000 8.725
Ag 1.533 1.545 6.771
Ag 0.000 0.000 4.817
Te 1.533 1.545 2.257
```

Properties
Electronic total energy in eV per cell: -11.13
Formation energy without anion corrections in eV per formula unit: 0.563
Density in Mg/m³: 8.75
Relative energy among the computed polymorphs in meV per atom: 114
Space-group type: No. 123


DFT (PBE) results for AcPuI4 after structural relaxation.

Cell and atoms, written as extended XYZ:
```
6
Lattice="-0.515 -4.324 -0.529 2.982 -1.251 7.325 -7.172 0.507 2.843" Properties=species:S:1:pos:R:3 pbc="T T T"
Ac -3.843 -1.909 1.157
I -1.539 -0.163 2.835
I -5.601 -2.042 3.958
I 0.896 -3.027 5.681
I -2.652 -0.581 7.333
Pu 0.000 0.000 0.000
```

Properties
Electronic total energy in eV per cell: -31.77
Formation energy without anion corrections in eV per formula unit: -7.127
Density in Mg/m³: 5.99
Space-group type: No. 10


DFT (PBE) results for CuBr2Cl after structural relaxation.

Cell and atoms, written as extended XYZ:
```
4
Lattice="-1.064 -0.504 4.718 -0.640 -2.122 -4.328 8.368 -5.233 1.329" Properties=species:S:1:pos:R:3 pbc="T T T"
Br 1.209 -2.602 0.522
Br 7.717 -4.826 1.226
Cl 4.912 -3.071 0.780
Cu 5.379 -5.209 1.185
```

Properties
Electronic total energy in eV per cell: -9.79
Formation energy without anion corrections in eV per formula unit: -0.502
Density in Mg/m³: 2.97
Relative energy among the computed polymorphs in meV per atom: 113
Space-group type: No. 35


DFT (PBE) results for YAlTc2 after structural relaxation.

Cell and atoms, written as extended XYZ:
```
4
Lattice="-3.054 -2.854 3.149 2.391 -4.450 1.366 0.342 5.215 0.273" Properties=species:S:1:pos:R:3 pbc="T T T"
Tc -0.011 -0.116 0.072
Tc -0.321 -3.536 2.186
Al 1.201 -1.444 1.948
Y -1.522 -0.645 2.840
```

Properties
Electronic total energy in eV per cell: -30.36
Formation energy in eV/atom: 0.14
Density in Mg/m³: 7.39
Space-group type: No. 71


DFT (PBE) results for Cs2In2Bi after structural relaxation.

Cell and atoms, written as extended XYZ:
```
10
Lattice="8.200 0.000 0.000 0.000 8.200 0.000 0.000 0.000 6.457" Properties=species:S:1:pos:R:3 pbc="T T T"
Cs 5.653 6.648 3.228
Cs 6.648 2.548 3.228
Cs 2.548 1.552 3.228
Cs 1.552 5.653 3.228
In 3.065 7.165 0.000
In 7.165 5.136 0.000
In 5.136 1.035 0.000
In 1.035 3.065 0.000
Bi 4.100 4.100 0.000
Bi 0.000 0.000 0.000
```

Properties
Electronic total energy in eV per cell: -23.48
Formation energy in eV/atom: -0.14
Density in Mg/m³: 5.39
Relative energy among the computed polymorphs in meV per atom: 69
Space-group type: No. 127


DFT (PBE) results for Ba4BiPBr2 after structural relaxation.

Cell and atoms, written as extended XYZ:
```
8
Lattice="4.893 0.000 0.000 0.000 8.498 -0.150 0.000 3.007 7.981" Properties=species:S:1:pos:R:3 pbc="T T T"
Ba 2.447 6.926 2.080
Ba 2.447 4.580 5.751
Ba 0.000 8.384 5.800
Ba 4.893 3.121 2.032
Br 2.447 1.504 3.991
Br 0.000 3.007 7.981
P 0.000 5.753 3.916
Bi 2.447 4.249 -0.075
```

Properties
Electronic total energy in eV per cell: -32.12
Formation energy without anion corrections in eV per formula unit: -11.793
Density in Mg/m³: 4.72
Space-group type: No. 10


DFT (PBE) results for La2Nd3Ge4 after structural relaxation.

Cell and atoms, written as extended XYZ:
```
18
Lattice="7.977 -0.285 0.000 -2.898 7.803 0.000 0.000 0.000 8.130" Properties=species:S:1:pos:R:3 pbc="T T T"
Ge 5.580 3.617 1.007
Ge -1.220 7.040 3.791
Ge 3.487 3.758 5.072
Ge -0.501 3.901 7.122
Ge 1.591 3.760 3.057
Ge 2.310 0.620 7.856
Ge 6.299 0.478 4.338
Ge 2.768 6.898 0.274
Nd -0.009 5.920 1.318
Nd 1.099 1.741 5.383
Nd 5.088 1.598 6.812
Nd -1.449 3.902 4.065
Nd 2.539 3.759 0.000
Nd 3.979 5.777 2.747
La 1.162 6.107 5.542
La 3.917 1.411 2.588
La -0.072 1.554 1.477
La 5.150 5.964 6.652
```

Properties
Electronic total energy in eV per cell: -100.18
Formation energy in eV/atom: -0.83
Density in Mg/m³: 6.66
Space-group type: No. 14


DFT (PBE) results for Sc4SnSe2 after structural relaxation.

Cell and atoms, written as extended XYZ:
```
14
Lattice="-2.118 1.730 6.968 -3.504 -6.154 -2.424 7.387 -1.283 -0.012" Properties=species:S:1:pos:R:3 pbc="T T T"
Sc -0.504 -0.345 5.894
Sc 1.307 -0.156 2.517
Sc 4.906 -1.334 1.873
Sc 2.591 -4.393 1.830
Sc -1.079 -2.750 0.992
Sc -2.889 -2.938 4.369
Sc 0.898 -3.044 5.002
Sc 3.214 0.014 5.044
Sn 7.387 -1.283 -0.012
Sn 0.536 -4.825 -0.082
Se -0.791 -1.547 3.443
Se 3.961 -3.054 -0.047
Se -2.543 -4.624 2.232
Se 2.902 -2.189 3.437
```

Properties
Electronic total energy in eV per cell: -87.36
Formation energy without anion corrections in eV per formula unit: -7.384
Density in Mg/m³: 4.69
Relative energy among the computed polymorphs in meV per atom: 77
Space-group type: No. 70


DFT (PBE) results for LaAl2WSe after structural relaxation.

Cell and atoms, written as extended XYZ:
```
5
Lattice="-1.293 3.731 -2.910 -2.091 -3.175 -3.142 -4.250 0.411 2.414" Properties=species:S:1:pos:R:3 pbc="T T T"
Al -2.125 0.205 1.207
Al -0.646 1.866 -1.455
W 0.000 0.000 0.000
Se -1.046 -1.588 -1.571
La -3.817 0.483 -1.819
```

Properties
Electronic total energy in eV per cell: -28.87
Formation energy without anion corrections in eV per formula unit: -0.019
Density in Mg/m³: 6.38
Space-group type: No. 123


DFT (PBE) results for KDySnO3 after structural relaxation.

Cell and atoms, written as extended XYZ:
```
12
Lattice="-1.265 -3.184 -0.390 3.548 -0.255 -9.418 6.052 -2.716 2.537" Properties=species:S:1:pos:R:3 pbc="T T T"
K 2.752 -1.785 -1.974
K 5.583 -4.370 -5.298
O 1.805 -2.979 -4.395
O 3.668 -4.176 -0.673
O 1.937 -2.666 -7.376
O 6.529 -3.176 -2.876
O 4.666 -1.979 -6.599
O 6.397 -3.489 0.104
Dy 5.749 -4.890 -1.600
Dy 2.585 -1.265 -5.672
Sn 3.748 -3.292 -8.138
Sn 4.587 -2.863 0.866
```

Properties
Electronic total energy in eV per cell: -76.37
Formation energy without anion corrections in eV per formula unit: -13.608
Density in Mg/m³: 4.96
Space-group type: No. 11